12
Lattice="-6.362 10.818 5.432 -7.156 7.190 9.171 9.000 -8.279 -6.122" Properties=species:S:1:pos:R:3 comment="GGA-PBE Fe2Se, optimized geometry" polymorph_energy_mev_per_atom=269 total_energy_ev_per_atom=-6.6758 volume_a3_per_cell=186.3 e_form_raw_ev_per_fu=0.4 sg="No. 141" pbc="T T T"
Fe -10.144 13.513 10.958
Fe -3.374 4.495 3.645
Fe 0.917 -0.537 1.530
Fe -5.832 8.453 8.821
Fe -7.609 10.136 8.219
Fe -5.910 7.872 6.384
Fe -2.910 6.903 4.224
Fe -1.211 4.640 2.388
Se -12.565 16.739 13.574
Se -0.953 1.269 1.029
Se -1.505 2.689 4.146
Se -3.410 5.227 6.205